w.
Entry from the Alexandria database: a crystal of BaCo2Mo relaxed with PBEsol (meta-GGA SCAN).

Output
Spin magnetization   1.53 μB per formula unit
Theoretical density   7.03 g/cm3

The structure in extended XYZ format:
```
4
Lattice="2.0387 1.1770 5.7576 -2.0387 1.1770 5.7576 0.0000 -2.3541 5.7576" Properties=species:S:1:pos:R:3 pbc="T T T"
Ba 0.0000 0.0000 0.0000
Co 0.0000 0.0000 3.2829
Co 0.0000 0.0000 13.9900
Mo 0.0000 0.0000 8.6365
```

x.
Entry from the Alexandria database: a crystal of BaCo2Mo relaxed with PBEsol (meta-GGA SCAN).

Output
Spin magnetization   2.26 μB per formula unit
Theoretical density   9.07 g/cm3

The structure in extended XYZ format:
```
4
Lattice="0.0000 3.1799 3.1799 3.1799 0.0000 3.1799 3.1799 3.1799 0.0000" Properties=species:S:1:pos:R:3 pbc="T T T"
Ba 0.0000 0.0000 0.0000
Co 3.1799 3.1799 3.1799
Co 4.7699 4.7699 4.7699
Mo 1.5900 1.5900 1.5900
```

The data favor w; the next most stable structure lies 918 meV per atom above it.

w.
Entry from the Alexandria database: a crystal of BaCo2P2O8 relaxed with PBEsol (meta-GGA SCAN).

Output
Spin magnetization   6.00 μB per formula unit
Theoretical density   4.02 g/cm3

The structure in extended XYZ format:
```
26
Lattice="8.0693 0.0000 0.0000 0.0000 4.9676 0.0000 -0.5055 0.0000 9.1647" Properties=species:S:1:pos:R:3 pbc="T T T"
Ba 0.0000 0.0000 0.0000
Ba -0.2528 2.4838 4.5823
Co 2.4834 0.3037 6.5353
Co 2.7362 2.1801 1.9529
Co 4.8276 2.7875 7.2118
Co 5.0803 4.6639 2.6294
P 1.9516 4.9663 3.3761
P 1.6988 2.4851 7.9584
P 5.6121 0.0013 5.7886
P 5.8649 2.4825 1.2062
O 0.9497 0.7303 2.4752
O 0.6969 1.7535 7.0575
O 1.5598 0.3121 4.8447
O 1.8126 2.1717 0.2624
O 1.9551 3.4341 3.2187
O 1.7024 4.0173 7.8010
O 3.3595 0.6071 2.9983
O 3.1067 1.8767 7.5806
O 4.4570 3.0909 1.5840
O 4.2043 4.3605 6.1664
O 5.8614 0.9503 1.3637
O 5.6086 1.5335 5.9460
O 5.7512 2.7959 8.9023
O 6.0039 4.6555 4.3200
O 6.8668 3.2141 2.1071
O 6.6141 4.2373 6.6895
```

x.
Entry from the Alexandria database: a crystal of BaCo2P2O8 relaxed with PBEsol (meta-GGA SCAN).

Output
Spin magnetization   6.00 μB per formula unit
Theoretical density   4.77 g/cm3

The structure in extended XYZ format:
```
13
Lattice="2.3802 1.3742 7.9025 -2.3802 1.3742 7.9025 0.0000 -2.7484 7.9025" Properties=species:S:1:pos:R:3 pbc="T T T"
Ba 0.0000 0.0000 0.0000
Co 0.0000 0.0000 3.9861
Co 0.0000 0.0000 19.7214
P 0.0000 0.0000 10.1017
P 0.0000 0.0000 13.6058
O -1.4771 0.0314 10.6085
O -0.7657 -1.2635 13.0989
O 0.0000 0.0000 8.5763
O 0.7114 -1.2949 10.6085
O -0.7114 1.2949 13.0989
O 0.0000 0.0000 15.1312
O 0.7657 1.2635 10.6086
O 1.4771 -0.0314 13.0989
```

The data favor x; the next most stable structure lies 17 meV per atom above it.

w.
Entry from the Alexandria database: a crystal of Ba2CoSi2O7 relaxed with PBEsol (meta-GGA SCAN).

Output
Spin magnetization   3.00 μB per formula unit
Theoretical density   4.58 g/cm3

The structure in extended XYZ format:
```
24
Lattice="8.2005 0.0000 0.0000 0.0000 8.2005 0.0000 0.0000 0.0000 5.4086" Properties=species:S:1:pos:R:3 pbc="T T T"
Ba 1.3553 2.7450 0.0481
Ba 2.7450 6.8453 5.3605
Ba 5.4555 1.3553 5.3605
Ba 6.8453 5.4555 0.0481
Co 0.0000 0.0000 2.7043
Co 4.1003 4.1003 2.7043
Si 1.1241 5.2243 2.9149
Si 2.9762 1.1241 2.4937
Si 5.2243 7.0765 2.4937
Si 7.0765 2.9762 2.9149
O 0.0000 4.1003 3.4561
O 0.6420 6.6146 3.6579
O 1.1365 5.2368 1.3022
O 1.5860 0.6420 1.7507
O 2.5143 4.7423 3.6579
O 2.9638 1.1365 4.1065
O 3.4582 2.5143 1.7507
O 4.1003 0.0000 1.9526
O 4.7423 5.6863 1.7507
O 5.2368 7.0641 4.1065
O 5.6863 3.4582 3.6579
O 6.6146 7.5585 1.7507
O 7.0641 2.9638 1.3022
O 7.5585 1.5860 3.6579
```

x.
Entry from the Alexandria database: a crystal of Ba2CoSi2O7 relaxed with PBEsol (meta-GGA SCAN).

Output
Spin magnetization   3.00 μB per formula unit
Theoretical density   4.70 g/cm3

The structure in extended XYZ format:
```
24
Lattice="4.2219 -5.3665 0.0000 4.2219 5.3665 0.0000 -3.1568 0.0000 7.8287" Properties=species:S:1:pos:R:3 pbc="T T T"
Ba 0.4222 0.4374 3.7093
Ba -1.1562 -0.4374 7.6236
Ba 6.4432 0.4374 0.2050
Ba 4.8648 -0.4374 4.1194
Co 3.4327 2.6109 1.9572
Co 1.8543 -2.6109 5.8715
Si 0.5397 2.3572 6.7508
Si 3.1689 2.3572 4.9922
Si 2.1182 -2.3572 2.8365
Si 4.7473 -2.3572 1.0779
O 0.5721 3.9708 6.7809
O -0.7361 1.6878 5.9586
O 3.1365 3.9708 4.9621
O 3.8599 1.5873 0.3638
O 1.8543 1.7776 5.8715
O 0.8423 -1.6878 2.0443
O 3.0056 1.5873 3.5505
O 2.2815 -1.5873 4.2782
O 4.4447 1.6878 5.7844
O 3.4327 -1.7776 1.9572
O 1.4272 -1.5873 7.4648
O 2.1505 -3.9708 2.8666
O 6.0231 -1.6878 1.8701
O 4.7149 -3.9708 1.0477
```

The data favor x; the next most stable structure lies 6 meV per atom above it.

w.
Entry from the Alexandria database: a crystal of Ba2CoOs relaxed with PBEsol (meta-GGA SCAN).

Output
Spin magnetization   2.61 μB per formula unit
Theoretical density   7.97 g/cm3

The structure in extended XYZ format:
```
4
Lattice="3.4206 0.0000 0.0000 0.0000 3.4206 0.0000 0.0000 0.0000 9.3294" Properties=species:S:1:pos:R:3 pbc="T T T"
Ba 0.0000 0.0000 0.0000
Ba 1.7103 1.7103 4.0353
Co 0.0000 0.0000 6.4157
Os 1.7103 1.7103 6.9392
```

x.
Entry from the Alexandria database: a crystal of Ba2CoOs relaxed with PBEsol (meta-GGA SCAN).

Output
Spin magnetization   2.37 μB per formula unit
Theoretical density   8.47 g/cm3

The structure in extended XYZ format:
```
4
Lattice="3.6210 0.0000 0.0000 0.0000 3.6210 0.0000 0.0000 0.0000 7.8310" Properties=species:S:1:pos:R:3 pbc="T T T"
Ba 0.0000 0.0000 1.9204
Ba 0.0000 0.0000 5.9106
Co 1.8105 1.8105 3.9155
Os 1.8105 1.8105 0.0000
```

The data favor w; the next most stable structure lies 409 meV per atom above it.

w.
Entry from the Alexandria database: a crystal of Ba2CoRe relaxed with PBEsol (meta-GGA SCAN).

Output
Spin magnetization   1.96 μB per formula unit
Theoretical density   8.71 g/cm3

The structure in extended XYZ format:
```
4
Lattice="3.0362 0.0000 0.0000 0.0000 3.6018 0.0000 0.0000 0.0000 9.0627" Properties=species:S:1:pos:R:3 pbc="T T T"
Ba 0.0000 0.0000 2.2110
Ba 0.0000 0.0000 6.8517
Co 1.5181 1.8009 0.0000
Re 1.5181 1.8009 4.5314
```

x.
Entry from the Alexandria database: a crystal of Ba2CoRe relaxed with PBEsol (meta-GGA SCAN).

Output
Spin magnetization   2.10 μB per formula unit
Theoretical density   8.40 g/cm3

The structure in extended XYZ format:
```
4
Lattice="5.8062 0.0000 0.0000 0.0000 5.8062 0.0000 0.0000 0.0000 3.0489" Properties=species:S:1:pos:R:3 pbc="T T T"
Ba 0.0000 2.9031 0.0000
Ba 2.9031 0.0000 0.0000
Co 0.0000 0.0000 1.5245
Re 2.9031 2.9031 1.5245
```

The data favor x; the next most stable structure lies 41 meV per atom above it.

w.
Entry from the Alexandria database: a crystal of BaCo2Ru relaxed with PBEsol (meta-GGA SCAN).

Output
Spin magnetization   3.16 μB per formula unit
Theoretical density   7.07 g/cm3

The structure in extended XYZ format:
```
4
Lattice="4.1231 0.0000 0.0000 0.0000 3.9352 0.0000 -1.1463 0.0000 5.1577" Properties=species:S:1:pos:R:3 pbc="T T T"
Ba 0.0000 0.0000 0.0000
Co 1.4705 0.0000 2.6218
Co 2.3858 1.9676 1.8928
Ru 0.2471 1.9676 2.8368
```

x.
Entry from the Alexandria database: a crystal of BaCo2Ru relaxed with PBEsol (meta-GGA SCAN).

Output
Spin magnetization   4.61 μB per formula unit
Theoretical density   7.94 g/cm3

The structure in extended XYZ format:
```
4
Lattice="-1.5339 2.6445 4.5910 1.5339 -2.6445 4.5910 1.5339 2.6445 -4.5910" Properties=species:S:1:pos:R:3 pbc="T T T"
Ba 0.0000 0.0000 0.0000
Co 1.5339 0.0000 2.7306
Co 0.0000 2.6445 1.8604
Ru 0.0000 0.0000 4.5910
```

The data favor w; the next most stable structure lies 319 meV per atom above it.

w.
Entry from the Alexandria database: a crystal of Ba2SrCo relaxed with PBEsol (meta-GGA SCAN).

Output
Spin magnetization   0.00 μB per formula unit
Theoretical density   4.12 g/cm3

The structure in extended XYZ format:
```
4
Lattice="2.9881 -6.7940 0.0000 2.9881 6.7940 0.0000 0.0000 0.0000 4.1779" Properties=species:S:1:pos:R:3 pbc="T T T"
Ba 2.9881 4.7700 0.0000
Ba 2.9881 -4.7700 0.0000
Sr 2.9881 0.0000 2.0889
Co 0.0000 0.0000 2.0889
```

x.
Entry from the Alexandria database: a crystal of Ba2SrCo relaxed with PBEsol (meta-GGA SCAN).

Output
Spin magnetization   1.61 μB per formula unit
Theoretical density   4.68 g/cm3

The structure in extended XYZ format:
```
4
Lattice="-1.9307 3.0607 6.3215 1.9307 -3.0607 6.3215 1.9307 3.0607 -6.3215" Properties=species:S:1:pos:R:3 pbc="T T T"
Ba 0.0000 0.0000 2.1385
Ba 0.0000 0.0000 10.5045
Sr 0.0000 3.0607 0.0000
Co 1.9307 0.0000 0.0000
```

y.
Entry from the Alexandria database: a crystal of Ba2SrCo relaxed with PBEsol (meta-GGA SCAN).

Output
Spin magnetization   1.35 μB per formula unit
Theoretical density   4.58 g/cm3

The structure in extended XYZ format:
```
4
Lattice="-1.9395 3.0763 6.4028 1.9395 -3.0763 6.4028 1.9395 3.0763 -6.4028" Properties=species:S:1:pos:R:3 pbc="T T T"
Ba 0.0000 0.0000 0.0000
Ba 0.0000 3.0763 2.1897
Sr 0.0000 0.0000 4.3815
Co 1.9395 0.0000 2.1618
```

The data favor y; the next most stable structure lies 29 meV per atom above it.

w.
Entry from the Alexandria database: a crystal of Ba2TaCo relaxed with PBEsol (meta-GGA SCAN).

Output
Spin magnetization   0.03 μB per formula unit
Theoretical density   6.55 g/cm3

The structure in extended XYZ format:
```
4
Lattice="2.0389 1.1771 9.0604 -2.0389 1.1771 9.0604 0.0000 -2.3543 9.0604" Properties=species:S:1:pos:R:3 pbc="T T T"
Ba 0.0000 0.0000 0.0000
Ba 0.0000 0.0000 4.9664
Ta 0.0000 0.0000 11.5829
Co 0.0000 0.0000 20.3967
```

x.
Entry from the Alexandria database: a crystal of Ba2TaCo relaxed with PBEsol (meta-GGA SCAN).

Output
Spin magnetization   0.01 μB per formula unit
Theoretical density   7.39 g/cm3

The structure in extended XYZ format:
```
4
Lattice="9.5857 -1.6557 0.0000 9.5857 1.6557 0.0000 -0.7128 0.0000 3.6415" Properties=species:S:1:pos:R:3 pbc="T T T"
Ba 2.7426 0.0000 0.5347
Ba 15.7161 0.0000 3.1068
Ta -0.3564 0.0000 1.8208
Co 9.5857 0.0000 0.0000
```

The data favor w; the next most stable structure lies 167 meV per atom above it.

w.
Entry from the Alexandria database: a crystal of Ba2CoTc relaxed with PBEsol (meta-GGA SCAN).

Output
Spin magnetization   4.06 μB per formula unit
Theoretical density   7.35 g/cm3

The structure in extended XYZ format:
```
4
Lattice="0.0000 3.6524 3.6524 3.6524 0.0000 3.6524 3.6524 3.6524 0.0000" Properties=species:S:1:pos:R:3 pbc="T T T"
Ba 0.0000 0.0000 0.0000
Ba 1.8262 1.8262 1.8262
Co 5.4786 5.4786 5.4786
Tc 3.6524 3.6524 3.6524
```

x.
Entry from the Alexandria database: a crystal of Ba2CoTc relaxed with PBEsol (meta-GGA SCAN).

Output
Spin magnetization   3.90 μB per formula unit
Theoretical density   6.89 g/cm3

The structure in extended XYZ format:
```
4
Lattice="5.4685 0.0000 0.0000 0.0000 5.4685 0.0000 0.0000 0.0000 3.4793" Properties=species:S:1:pos:R:3 pbc="T T T"
Ba 0.0000 2.7342 0.0000
Ba 2.7342 0.0000 0.0000
Co 0.0000 0.0000 1.7396
Tc 2.7342 2.7342 1.7396
```

y.
Entry from the Alexandria database: a crystal of Ba2CoTc relaxed with PBEsol (meta-GGA SCAN).

Output
Spin magnetization   0.00 μB per formula unit
Theoretical density   6.19 g/cm3

The structure in extended XYZ format:
```
4
Lattice="-1.9487 2.4489 6.0632 1.9487 -2.4489 6.0632 1.9487 2.4489 -6.0632" Properties=species:S:1:pos:R:3 pbc="T T T"
Ba 0.0000 0.0000 0.0000
Ba 0.0000 2.4489 2.7119
Co 0.0000 0.0000 4.8465
Tc 1.9487 0.0000 3.8411
```

The data favor y; the next most stable structure lies 403 meV per atom above it.

w.
Entry from the Alexandria database: a crystal of BaCoW2 relaxed with PBEsol (meta-GGA SCAN).

Output
Spin magnetization   1.82 μB per formula unit
Theoretical density   12.45 g/cm3

The structure in extended XYZ format:
```
4
Lattice="2.6161 -5.1636 0.0000 2.6161 5.1636 0.0000 0.0000 0.0000 2.7841" Properties=species:S:1:pos:R:3 pbc="T T T"
Ba 0.0000 0.0000 0.0000
Co 2.6161 0.0000 0.0000
W 1.3080 2.5818 1.3920
W 1.3080 -2.5818 1.3920
```

x.
Entry from the Alexandria database: a crystal of BaCoW2 relaxed with PBEsol (meta-GGA SCAN).

Output
Spin magnetization   2.03 μB per formula unit
Theoretical density   12.62 g/cm3

The structure in extended XYZ format:
```
4
Lattice="2.0114 -2.0602 0.0000 2.0114 2.0602 0.0000 0.0000 0.0000 8.9553" Properties=species:S:1:pos:R:3 pbc="T T T"
Ba 0.0000 0.0000 0.0000
Co 0.0000 0.0000 4.4777
W 2.0114 0.0000 2.9135
W 2.0114 0.0000 6.0418
```

y.
Entry from the Alexandria database: a crystal of BaCoW2 relaxed with PBEsol (meta-GGA SCAN).

Output
Spin magnetization   0.90 μB per formula unit
Theoretical density   11.83 g/cm3

The structure in extended XYZ format:
```
4
Lattice="-1.5057 2.7952 4.7032 1.5057 -2.7952 4.7032 1.5057 2.7952 -4.7032" Properties=species:S:1:pos:R:3 pbc="T T T"
Ba 0.0000 0.0000 0.0000
Co 0.0000 2.7952 2.0767
W 1.5057 0.0000 2.8396
W 0.0000 0.0000 4.8742
```

z.
Entry from the Alexandria database: a crystal of BaCoW2 relaxed with PBEsol (meta-GGA SCAN).

Output
Spin magnetization   1.65 μB per formula unit
Theoretical density   10.60 g/cm3

The structure in extended XYZ format:
```
4
Lattice="3.1289 0.0000 0.0000 0.0000 4.2399 0.0000 -1.4131 0.0000 6.6605" Properties=species:S:1:pos:R:3 pbc="T T T"
Ba 0.0000 0.0000 0.0000
Co 0.8579 0.0000 3.3302
W 0.0354 2.1199 4.2665
W 1.6805 2.1199 2.3940
```

The data favor x; the next most stable structure lies 26 meV per atom above it.

w.
Entry from the Alexandria database: a crystal of BaCo2W relaxed with PBEsol (meta-GGA SCAN).

Output
Spin magnetization   0.00 μB per formula unit
Theoretical density   9.18 g/cm3

The structure in extended XYZ format:
```
4
Lattice="-1.7378 1.7413 6.5640 1.7378 -1.7413 6.5640 1.7378 1.7413 -6.5640" Properties=species:S:1:pos:R:3 pbc="T T T"
Ba 0.0000 0.0000 0.0000
Co 1.7378 0.0000 3.4861
Co 0.0000 0.0000 8.4920
W 0.0000 1.7413 3.4718
```

x.
Entry from the Alexandria database: a crystal of BaCo2W relaxed with PBEsol (meta-GGA SCAN).

Output
Spin magnetization   2.07 μB per formula unit
Theoretical density   11.29 g/cm3

The structure in extended XYZ format:
```
4
Lattice="0.0000 3.1846 3.1846 3.1846 0.0000 3.1846 3.1846 3.1846 0.0000" Properties=species:S:1:pos:R:3 pbc="T T T"
Ba 0.0000 0.0000 0.0000
Co 1.5923 1.5923 1.5923
Co 3.1846 3.1846 3.1846
W 4.7769 4.7769 4.7769
```

The data favor w; the next most stable structure lies 746 meV per atom above it.